Arrangement i

This record from Alexandria describes crystalline GeRhI3 at its relaxed geometry. The functional is PBE-GGA.

abc: 5.7309 5.7309 5.7309
angles: 90.00 90.00 90.00
Closest atoms and distances in Å follow each position.
Element x y z (fractional)
Ge1 0.0000 0.0000 0.0000  6 I 2.87
Rh1 0.5000 0.5000 0.5000  12 I 4.05
I1 0.0000 0.0000 0.5000  2 Ge 2.87
I2 0.0000 0.5000 0.0000  2 Ge 2.87
I3 0.5000 0.0000 0.0000  2 Ge 2.87

Arrangement ii

This record from Alexandria describes crystalline GeRhI3 at its relaxed geometry. The functional is PBE-GGA.

abc: 5.3735 5.3735 5.3735
angles: 90.00 90.00 90.00
Closest atoms and distances in Å follow each position.
Element x y z (fractional)
Ge1 0.0000 0.0000 0.0000  12 I 3.80
Rh1 0.5000 0.5000 0.5000  6 I 2.69
I1 0.0000 0.5000 0.5000  2 Rh 2.69
I2 0.5000 0.0000 0.5000  2 Rh 2.69
I3 0.5000 0.5000 0.0000  2 Rh 2.69

Which of them is least stable? Easy: arrangement i.

Arrangement i

This record from Alexandria describes crystalline GeRuI3 at its relaxed geometry. The functional is PBE-GGA.

abc: 5.3600 5.3600 5.3600
angles: 90.00 90.00 90.00
Closest atoms and distances in Å follow each position.
Element x y z (fractional)
Ge1 0.0000 0.0000 0.0000  12 I 3.79
Ru1 0.5000 0.5000 0.5000  6 I 2.68
I1 0.0000 0.5000 0.5000  2 Ru 2.68
I2 0.5000 0.0000 0.5000  2 Ru 2.68
I3 0.5000 0.5000 0.0000  2 Ru 2.68

Arrangement ii

This record from Alexandria describes crystalline GeRuI3 at its relaxed geometry. The functional is PBE-GGA.

abc: 5.7561 5.7561 5.7561
angles: 90.00 90.00 90.00
Closest atoms and distances in Å follow each position.
Element x y z (fractional)
Ge1 0.0000 0.0000 0.0000  6 I 2.88
Ru1 0.5000 0.5000 0.5000  12 I 4.07
I1 0.0000 0.0000 0.5000  2 Ge 2.88
I2 0.0000 0.5000 0.0000  2 Ge 2.88
I3 0.5000 0.0000 0.0000  2 Ge 2.88

Which of them is least stable? Easy: arrangement ii.

Arrangement i

This record from Alexandria describes crystalline Ge2RuI at its relaxed geometry. The functional is PBE-GGA.

abc: 4.8735 4.8735 4.8735
angles: 60.00 60.00 60.00
Closest atoms and distances in Å follow each position.
Element x y z (fractional)
Ge1 0.2500 0.2500 0.2500  4 Ru 2.98, 4 I 2.98
Ge2 0.7500 0.7500 0.7500  4 Ru 2.98, 4 I 2.98
Ru1 0.0000 0.0000 0.0000  8 Ge 2.98
I1 0.5000 0.5000 0.5000  8 Ge 2.98

Arrangement ii

This record from Alexandria describes crystalline Ge2RuI at its relaxed geometry. The functional is PBE-GGA.

abc: 7.5205 7.5205 7.5205
angles: 131.22 131.22 71.46
Closest atoms and distances in Å follow each position.
Element x y z (fractional)
Ge1 0.0136 0.6250 0.8886  2 Ru 2.34
Ge2 0.3750 0.2636 0.3886  2 Ru 2.34
Ge3 0.7364 0.1250 0.1114  2 Ru 2.34
Ge4 0.8750 0.9864 0.6114  2 Ru 2.34
Ru1 0.0000 0.0000 0.0000  4 Ge 2.34
Ru2 0.7500 0.2500 0.5000  4 Ge 2.34
I1 0.2500 0.7500 0.5000  4 Ge 3.13
I2 0.5000 0.5000 0.0000  4 Ge 3.13

Which of them is least stable? Easy: arrangement i.

Arrangement i

This record from Alexandria describes crystalline GeRuI at its relaxed geometry. The functional is PBE-GGA.

abc: 5.7872 6.6554 6.6554
angles: 145.67 90.00 90.00
Closest atoms and distances in Å follow each position.
Element x y z (fractional)
Ge1 0.2500 0.0429 0.9571  4 Ru 2.50
Ge2 0.7500 0.9571 0.0429  4 Ru 2.50
Ru1 0.0000 0.4989 0.4989  4 Ge 2.50, 2 I 2.71
Ru2 0.5000 0.4989 0.4989  4 Ge 2.50, 2 I 2.71
I1 0.2500 0.3276 0.6882  2 Ru 2.71
I2 0.7500 0.6882 0.3276  2 Ru 2.71

Arrangement ii

This record from Alexandria describes crystalline GeRuI at its relaxed geometry. The functional is PBE-GGA.

abc: 3.0681 4.0991 11.2822
angles: 90.00 97.77 90.00
Closest atoms and distances in Å follow each position.
Element x y z (fractional)
Ge1 0.0475 0.2500 0.0955  6 Ru 2.56-2.66
Ge2 0.9525 0.7500 0.9045  6 Ru 2.56-2.66
Ru1 0.4513 0.2500 0.9014  6 Ge 2.56-2.66, 1 I 2.74
Ru2 0.5487 0.7500 0.0986  6 Ge 2.56-2.66, 1 I 2.74
I1 0.3292 0.2500 0.6564  1 Ru 2.74
I2 0.6708 0.7500 0.3436  1 Ru 2.74

Which of them is least stable? Easy: arrangement i.

Arrangement i

This record from Alexandria describes crystalline GeRuSI at its relaxed geometry. The functional is PBE-GGA.

abc: 3.5390 3.5416 8.9255
angles: 90.31 101.04 119.96
Closest atoms and distances in Å follow each position.
Element x y z (fractional)
Ge1 0.0000 0.0000 0.0000  3 Ru 2.53, 1 I 2.59, 1 S 2.72
Ru1 0.7787 0.3919 0.1716  3 S 2.38-2.39, 3 Ge 2.53
S1 0.2041 0.1065 0.3128  3 Ru 2.38-2.39
I1 0.8067 0.8986 0.7023  1 Ge 2.59

Arrangement ii

This record from Alexandria describes crystalline GeRuSI at its relaxed geometry. The functional is PBE-GGA.

abc: 3.0933 4.7035 8.1780
angles: 104.73 90.36 108.99
Closest atoms and distances in Å follow each position.
Element x y z (fractional)
Ge1 0.0000 0.0000 0.0000  1 S 2.34, 3 Ru 2.44-2.54
Ru1 0.7179 0.4444 0.9860  2 S 2.34, 3 Ge 2.44-2.54
S1 0.2406 0.4832 0.2056  2 Ru 2.34, 1 Ge 2.34
I1 0.6121 0.2379 0.6389  1 Ru 2.74

Which of them is least stable? Easy: arrangement i.

Arrangement i

This record from Alexandria describes crystalline GeRuSI at its relaxed geometry. The functional is PBE-GGA.

abc: 3.5998 4.6075 7.4679
angles: 106.93 90.87 112.71
Closest atoms and distances in Å follow each position.
Element x y z (fractional)
Ge1 0.0000 0.0000 0.0000  1 S 2.32, 3 Ru 2.47-2.54
Ru1 0.7001 0.4083 0.9803  2 S 2.41, 3 Ge 2.47-2.54
S1 0.2722 0.5388 0.2076  1 Ge 2.32, 2 Ru 2.41
I1 0.1220 0.2690 0.6795  2 Ru 2.79, 1 Ge 2.97

Arrangement ii

This record from Alexandria describes crystalline GeRuSI at its relaxed geometry. The functional is PBE-GGA.

abc: 4.2412 4.2412 7.3244
angles: 106.06 106.06 54.81
Closest atoms and distances in Å follow each position.
Element x y z (fractional)
Ge1 0.0000 0.0000 0.0000  1 S 2.21, 2 Ru 2.44
Ru1 0.3871 0.3871 0.1300  1 S 2.34, 2 Ge 2.44
S1 0.1832 0.1832 0.8154  1 Ge 2.21, 1 Ru 2.34
I1 0.7574 0.7574 0.3447  3 Ru 2.74-2.86

Arrangement iii

This record from Alexandria describes crystalline GeRuSI at its relaxed geometry. The functional is PBE-GGA.

abc: 3.1276 3.1293 11.5472
angles: 83.49 84.15 64.96
Closest atoms and distances in Å follow each position.
Element x y z (fractional)
Ge1 0.0000 0.0000 0.0000  3 Ru 2.69-2.75
Ru1 0.7035 0.7162 0.8251  3 S 2.29-2.32
S1 0.0786 0.1005 0.7044  3 Ru 2.29-2.32
I1 0.5698 0.5225 0.3504  6 I 3.13-3.36

Arrangement iv

This record from Alexandria describes crystalline GeRuSI at its relaxed geometry. The functional is PBE-GGA.

abc: 3.3067 4.0991 8.7637
angles: 89.57 79.67 66.65
Closest atoms and distances in Å follow each position.
Element x y z (fractional)
Ge1 0.0000 0.0000 0.0000  2 S 2.31, 3 Ru 2.37-2.53
Ru1 0.7780 0.5496 0.8812  3 Ge 2.37-2.53, 1 S 2.51, 1 I 2.56
S1 0.5221 0.7993 0.1595  2 Ge 2.31, 1 Ru 2.51
I1 0.9619 0.4615 0.5844  1 Ru 2.56

Which of them is least stable? Easy: arrangement iv.

Arrangement i

This record from Alexandria describes crystalline GeRuSI at its relaxed geometry. The functional is PBE-GGA.

abc: 2.9722 3.7280 9.1324
angles: 86.19 81.16 89.99
Closest atoms and distances in Å follow each position.
Element x y z (fractional)
Ge1 0.0000 0.0000 0.0000  4 Ru 2.57-2.59
Ru1 0.5520 0.5135 0.8899  2 S 2.27
S1 0.1407 0.4589 0.7020  2 Ru 2.27
I1 0.8488 0.9881 0.3232  1 Ge 2.91, 2 I 2.97

Arrangement ii

This record from Alexandria describes crystalline GeRuSI at its relaxed geometry. The functional is PBE-GGA.

abc: 3.9473 4.1052 7.8184
angles: 90.00 104.04 90.00
Closest atoms and distances in Å follow each position.
Element x y z (fractional)
Ge1 0.0000 0.0000 0.0000  2 Ru 2.42
Ru1 0.0812 0.5000 0.1688  2 S 2.16, 2 Ge 2.42
S1 0.6374 0.5000 0.2857  2 Ru 2.16
I1 0.3736 0.0000 0.7366  2 Ge 2.81

Which of them is least stable? Easy: arrangement i.

Arrangement i

This record from Alexandria describes crystalline Ge2SI at its relaxed geometry. The functional is PBE-GGA.

abc: 5.0474 5.0474 5.0474
angles: 60.00 60.00 60.00
Closest atoms and distances in Å follow each position.
Element x y z (fractional)
Ge1 0.2500 0.2500 0.2500  4 S 3.09, 4 I 3.09
Ge2 0.7500 0.7500 0.7500  4 S 3.09, 4 I 3.09
S1 0.0000 0.0000 0.0000  8 Ge 3.09
I1 0.5000 0.5000 0.5000  8 Ge 3.09

Arrangement ii

This record from Alexandria describes crystalline Ge2SI at its relaxed geometry. The functional is PBE-GGA.

abc: 8.8750 8.8750 8.8750
angles: 143.68 143.68 52.31
Closest atoms and distances in Å follow each position.
Element x y z (fractional)
Ge1 0.0207 0.6250 0.8957  2 S 2.56
Ge2 0.3750 0.2707 0.3957  2 S 2.56
Ge3 0.7293 0.1250 0.1043  2 S 2.56
Ge4 0.8750 0.9793 0.6043  2 S 2.56
S1 0.0000 0.0000 0.0000  4 Ge 2.56
S2 0.7500 0.2500 0.5000  4 Ge 2.56
I1 0.2500 0.7500 0.5000  4 Ge 3.12
I2 0.5000 0.5000 0.0000  4 Ge 3.12

Which of them is least stable? Easy: arrangement i.

Arrangement i

This record from Alexandria describes crystalline Ge3S2I2 at its relaxed geometry. The functional is PBE-GGA.

abc: 7.4507 7.4896 8.4674
angles: 90.00 109.64 90.00
Closest atoms and distances in Å follow each position.
Element x y z (fractional)
Ge1 0.0000 0.0000 0.0000  2 S 2.68
Ge2 0.0000 0.5000 0.5000  2 S 2.68
Ge3 0.3646 0.9997 0.7995  2 S 2.38-2.41
Ge4 0.3646 0.5003 0.2995  2 S 2.38-2.41
Ge5 0.6354 0.0003 0.2005  2 S 2.38-2.41
Ge6 0.6354 0.4997 0.7005  2 S 2.38-2.41
S1 0.3416 0.1464 0.0414  2 Ge 2.38-2.41
S2 0.3416 0.3536 0.5414  2 Ge 2.38-2.41
S3 0.6584 0.6464 0.4586  2 Ge 2.38-2.41
S4 0.6584 0.8536 0.9586  2 Ge 2.38-2.41
I1 0.1331 0.6851 0.8427  3 Ge 3.01-3.06
I2 0.1331 0.8149 0.3427  3 Ge 3.01-3.06
I3 0.8669 0.1851 0.6573  3 Ge 3.01-3.06
I4 0.8669 0.3149 0.1573  3 Ge 3.01-3.06

Arrangement ii

This record from Alexandria describes crystalline Ge3S2I2 at its relaxed geometry. The functional is PBE-GGA.

abc: 7.8225 7.8225 7.2948
angles: 105.37 105.37 30.01
Closest atoms and distances in Å follow each position.
Element x y z (fractional)
Ge1 0.0000 0.0000 0.0000  2 S 2.73, 4 I 3.01
Ge2 0.2569 0.2569 0.2032  3 S 2.43-2.58
Ge3 0.7431 0.7431 0.7968  3 S 2.43-2.58
S1 0.1562 0.1562 0.8806  3 Ge 2.43-2.58
S2 0.8438 0.8438 0.1194  3 Ge 2.43-2.58
I1 0.4058 0.4058 0.7046  2 Ge 3.01
I2 0.5942 0.5942 0.2954  2 Ge 3.01

Which of them is least stable? Easy: arrangement i.

Arrangement i

This record from Alexandria describes crystalline GeS2I2 at its relaxed geometry. The functional is PBE-GGA.

abc: 8.1015 8.1015 4.9252
angles: 90.00 90.00 90.00
Closest atoms and distances in Å follow each position.
Element x y z (fractional)
Ge1 0.0000 0.0000 0.0000  4 I 2.98
Ge2 0.5000 0.5000 0.0000  4 I 2.98
S1 0.2480 0.2520 0.5000  2 I 2.60
S2 0.2520 0.7520 0.5000  2 I 2.60
S3 0.7480 0.2480 0.5000  2 I 2.60
S4 0.7520 0.7480 0.5000  2 I 2.60
I1 0.1787 0.6787 0.0000  2 S 2.60
I2 0.3213 0.1787 0.0000  2 S 2.60
I3 0.6787 0.8213 0.0000  2 S 2.60
I4 0.8213 0.3213 0.0000  2 S 2.60

Arrangement ii

This record from Alexandria describes crystalline GeS2I2 at its relaxed geometry. The functional is PBE-GGA.

abc: 12.2725 12.2725 12.2725
angles: 163.26 163.26 23.75
Closest atoms and distances in Å follow each position.
Element x y z (fractional)
Ge1 0.0000 0.0000 0.0000  8 I 3.15
S1 0.2500 0.7500 0.5000  4 S 2.53
S2 0.7500 0.2500 0.5000  4 S 2.53
I1 0.4214 0.4214 0.0000  4 Ge 3.15
I2 0.5786 0.5786 0.0000  4 Ge 3.15

Which of them is least stable? Easy: arrangement i.

Arrangement i

This record from Alexandria describes crystalline GeSb2SI at its relaxed geometry. The functional is PBE-GGA.

abc: 5.2411 5.2411 5.5131
angles: 90.00 90.00 90.00
Closest atoms and distances in Å follow each position.
Element x y z (fractional)
Ge1 0.0000 0.0000 0.0000  4 I 3.71, 8 Sb 3.80
Sb1 0.0000 0.5000 0.5000  2 S 2.62
Sb2 0.5000 0.0000 0.5000  2 S 2.62
S1 0.5000 0.5000 0.5000  4 Sb 2.62, 2 I 2.76
I1 0.5000 0.5000 0.0000  2 S 2.76

Arrangement ii

This record from Alexandria describes crystalline GeSb2SI at its relaxed geometry. The functional is PBE-GGA.

abc: 5.4555 5.4555 5.3626
angles: 90.00 90.00 90.00
Closest atoms and distances in Å follow each position.
Element x y z (fractional)
Ge1 0.0000 0.0000 0.0000  2 I 2.68, 4 Sb 2.73
Sb1 0.0000 0.5000 0.0000  2 Ge 2.73
Sb2 0.5000 0.0000 0.0000  2 Ge 2.73
S1 0.5000 0.5000 0.5000  8 Sb 3.82, 4 I 3.86
I1 0.0000 0.0000 0.5000  2 Ge 2.68

Which of them is least stable? Easy: arrangement ii.

Arrangement i

This record from Alexandria describes crystalline GeSb2I at its relaxed geometry. The functional is PBE-GGA.

abc: 5.3269 5.3269 5.3269
angles: 60.00 60.00 60.00
Closest atoms and distances in Å follow each position.
Element x y z (fractional)
Ge1 0.0000 0.0000 0.0000  8 Sb 3.26
Sb1 0.2500 0.2500 0.2500  4 I 3.26, 4 Ge 3.26
Sb2 0.7500 0.7500 0.7500  4 I 3.26, 4 Ge 3.26
I1 0.5000 0.5000 0.5000  8 Sb 3.26

Arrangement ii

This record from Alexandria describes crystalline GeSb2I at its relaxed geometry. The functional is PBE-GGA.

abc: 6.2628 7.3062 6.3722
angles: 90.00 96.57 90.00
Closest atoms and distances in Å follow each position.
Element x y z (fractional)
Ge1 0.0000 0.2399 0.0000  4 Sb 2.72-2.76
Ge2 0.0000 0.7601 0.0000  4 Sb 2.72-2.76
Sb1 0.0594 0.5000 0.6986  2 Ge 2.76, 1 Sb 3.02, 1 I 3.04
Sb2 0.3187 0.0000 0.1471  2 Ge 2.74
Sb3 0.6884 0.0000 0.8441  2 Ge 2.72
Sb4 0.8449 0.5000 0.2500  2 Ge 2.73, 1 Sb 3.02
I1 0.5476 0.5000 0.7222  2 Sb 3.04-3.23
I2 0.9896 0.0000 0.4896  2 Sb 3.10-3.17

Which of them is least stable? Easy: arrangement i.